Computed, not measured: a geometry-optimized LiPdI6 structure at the PBE-GGA level of DFT.

Cell: 10.509 10.968 7.510 Å, 90.00 125.82 90.00°
Space group C2/m (No. 12)
Inequivalent atoms, fractional coordinates:
1 Li 0.000 0.000 0.000 (multiplicity 2)
2 Pd 0.000 0.000 0.500 (multiplicity 2)
3 I 0.110 0.183 0.822 (multiplicity 8)
4 I 0.240 0.000 0.468 (multiplicity 4)

Properties
E_form (uncorrected): -0.32 eV/atom
VASP energy: -37.91 eV for the cell shown

=====

Computed, not measured: a geometry-optimized PaTc2O8F structure at the PBE-GGA level of DFT.

Cell: 6.6565 6.6565 4.7602 Å, 90.00 90.00 120.00°
Space group P-3m1 (No. 164)
Inequivalent atoms, fractional coordinates:
1 Pa 0.0000 0.0000 0.0000 (multiplicity 1)
2 Tc 0.3333 0.6667 0.2777 (multiplicity 2)
3 O 0.1859 0.3718 0.1590 (multiplicity 6)
4 O 0.3333 0.6667 0.6387 (multiplicity 2)
5 F 0.0000 0.0000 0.5000 (multiplicity 1)

Properties
E_form (uncorrected): -2.01 eV/atom
VASP energy: -95.90 eV for the cell shown